(one)
# SrLiCa2

An optimized crystal structure of SrLiCa2 (PBEsol, Alexandria).

Values from the calculation:
M_tot in μB per cell: 0.00
Symmetry: Immm

POSCAR file:
```
SrLiCa2
1.0
4.0696 0.0000 0.0000
0.0000 6.1705 0.0000
0.0000 0.0000 12.3452
Sr Li Ca
2 2 4
Direct
0.0000 0.0000 0.0000
0.5000 0.5000 0.5000
0.0000 0.0000 0.5000
0.5000 0.5000 0.0000
0.0000 0.5000 0.2183
0.0000 0.5000 0.7817
0.5000 0.0000 0.2817
0.5000 0.0000 0.7183
```

(two)
# SrLiCa2

An optimized crystal structure of SrLiCa2 (PBEsol, Alexandria).

Values from the calculation:
M_tot in μB per cell: 0.00
Symmetry: P4/mmm

POSCAR file:
```
SrLiCa2
1.0
5.2516 0.0000 0.0000
0.0000 5.2516 0.0000
0.0000 0.0000 5.6729
Sr Li Ca
1 1 2
Direct
0.0000 0.0000 0.0000
0.5000 0.5000 0.0000
0.0000 0.5000 0.5000
0.5000 0.0000 0.5000
```

How far above the most stable structure does each one sit? In eV/atom: (one) 0.000; (two) 0.042.

(one)
# SrLiCa2

An optimized crystal structure of SrLiCa2 (PBEsol, Alexandria).

Values from the calculation:
M_tot in μB per cell: 0.00
Symmetry: Pm

POSCAR file:
```
SrLiCa2
1.0
3.8696 0.0000 0.0000
0.0000 5.6821 0.0000
-1.9226 0.0000 7.2162
Sr Li Ca
1 1 2
Direct
0.0000 0.0000 0.0000
0.4591 0.5000 0.7742
0.1926 0.0000 0.5226
0.6113 0.5000 0.2977
```

(two)
# SrLiCa2

An optimized crystal structure of SrLiCa2 (PBEsol, Alexandria).

Values from the calculation:
M_tot in μB per cell: 0.00
Symmetry: F-43m

POSCAR file:
```
SrLiCa2
1.0
8.5671 0.0000 0.0000
0.0000 8.5671 0.0000
0.0000 0.0000 8.5671
Sr Li Ca
4 4 8
Direct
0.0000 0.0000 0.0000
0.0000 0.5000 0.5000
0.5000 0.0000 0.5000
0.5000 0.5000 0.0000
0.2500 0.2500 0.7500
0.2500 0.7500 0.2500
0.7500 0.2500 0.2500
0.7500 0.7500 0.7500
0.0000 0.0000 0.5000
0.0000 0.5000 0.0000
0.2500 0.2500 0.2500
0.2500 0.7500 0.7500
0.5000 0.0000 0.0000
0.5000 0.5000 0.5000
0.7500 0.2500 0.7500
0.7500 0.7500 0.2500
```

(three)
# SrLiCa2

An optimized crystal structure of SrLiCa2 (PBEsol, Alexandria).

Values from the calculation:
M_tot in μB per cell: 0.00
Symmetry: P4mm

POSCAR file:
```
SrLiCa2
1.0
4.1085 0.0000 0.0000
0.0000 4.1085 0.0000
0.0000 0.0000 9.1141
Sr Li Ca
1 1 2
Direct
0.0000 0.0000 0.0000
0.5000 0.5000 0.7634
0.0000 0.0000 0.5670
0.5000 0.5000 0.2993
```

How far above the most stable structure does each one sit? In eV/atom: (one) 0.053; (two) 0.065; (three) 0.000.

(one)
# Li2CaTc

An optimized crystal structure of Li2CaTc (PBEsol, Alexandria).

Values from the calculation:
M_tot in μB per cell: 0.99
Symmetry: P4/mmm

POSCAR file:
```
Li2CaTc
1.0
4.1455 0.0000 0.0000
0.0000 4.1455 0.0000
0.0000 0.0000 4.1769
Li Ca Tc
2 1 1
Direct
0.0000 0.5000 0.0000
0.5000 0.0000 0.0000
0.0000 0.0000 0.5000
0.5000 0.5000 0.5000
```

(two)
# Li2CaTc

An optimized crystal structure of Li2CaTc (PBEsol, Alexandria).

Values from the calculation:
M_tot in μB per cell: 7.21
Symmetry: Fm-3m

POSCAR file:
```
Li2CaTc
1.0
6.6293 0.0000 0.0000
0.0000 6.6293 0.0000
0.0000 0.0000 6.6293
Li Ca Tc
8 4 4
Direct
0.2500 0.2500 0.2500
0.2500 0.2500 0.7500
0.2500 0.7500 0.2500
0.2500 0.7500 0.7500
0.7500 0.2500 0.2500
0.7500 0.2500 0.7500
0.7500 0.7500 0.2500
0.7500 0.7500 0.7500
0.0000 0.0000 0.0000
0.0000 0.5000 0.5000
0.5000 0.0000 0.5000
0.5000 0.5000 0.0000
0.0000 0.0000 0.5000
0.0000 0.5000 0.0000
0.5000 0.0000 0.0000
0.5000 0.5000 0.5000
```

(three)
# Li2CaTc

An optimized crystal structure of Li2CaTc (PBEsol, Alexandria).

Values from the calculation:
M_tot in μB per cell: 0.00
Symmetry: Cm

POSCAR file:
```
Li2CaTc
1.0
9.6299 0.0000 0.0000
0.0000 2.7077 0.0000
-0.8515 0.0000 5.4430
Li Ca Tc
4 2 2
Direct
0.0000 0.0000 0.0000
0.2445 0.5000 0.2366
0.5000 0.5000 0.0000
0.7445 0.0000 0.2366
0.2356 0.0000 0.6977
0.7356 0.5000 0.6977
0.4841 0.0000 0.4525
0.9841 0.5000 0.4525
```

How far above the most stable structure does each one sit? In eV/atom: (one) 0.158; (two) 0.139; (three) 0.000.

(one)
# LiCaW

An optimized crystal structure of LiCaW (PBEsol, Alexandria).

Values from the calculation:
M_tot in μB per cell: 0.00
Symmetry: P3m1

POSCAR file:
```
LiCaW
1.0
2.9121 0.0000 0.0000
-1.4561 2.5220 0.0000
0.0000 0.0000 7.9862
Li Ca W
1 1 1
Direct
0.0000 0.0000 0.0000
0.6667 0.3333 0.3820
0.3333 0.6667 0.7035
```

(two)
# LiCaW

An optimized crystal structure of LiCaW (PBEsol, Alexandria).

Values from the calculation:
M_tot in μB per cell: 14.15
Symmetry: F-43m

POSCAR file:
```
LiCaW
1.0
6.5397 0.0000 0.0000
0.0000 6.5397 0.0000
0.0000 0.0000 6.5397
Li Ca W
4 4 4
Direct
0.0000 0.0000 0.0000
0.0000 0.5000 0.5000
0.5000 0.0000 0.5000
0.5000 0.5000 0.0000
0.2500 0.2500 0.2500
0.2500 0.7500 0.7500
0.7500 0.2500 0.7500
0.7500 0.7500 0.2500
0.2500 0.2500 0.7500
0.2500 0.7500 0.2500
0.7500 0.2500 0.2500
0.7500 0.7500 0.7500
```

How far above the most stable structure does each one sit? In eV/atom: (one) 0.000; (two) 0.942.

(one)
# LiCaY2

An optimized crystal structure of LiCaY2 (PBEsol, Alexandria).

Values from the calculation:
M_tot in μB per cell: 0.00
Symmetry: P4/mmm

POSCAR file:
```
LiCaY2
1.0
3.6417 0.0000 0.0000
0.0000 3.6417 0.0000
0.0000 0.0000 8.9585
Li Ca Y
1 1 2
Direct
0.0000 0.0000 0.0000
0.0000 0.0000 0.5000
0.5000 0.5000 0.1999
0.5000 0.5000 0.8001
```

(two)
# LiCaY2

An optimized crystal structure of LiCaY2 (PBEsol, Alexandria).

Values from the calculation:
M_tot in μB per cell: 0.00
Symmetry: Fm-3m

POSCAR file:
```
LiCaY2
1.0
7.8002 0.0000 0.0000
0.0000 7.8002 0.0000
0.0000 0.0000 7.8002
Li Ca Y
4 4 8
Direct
0.0000 0.0000 0.0000
0.0000 0.5000 0.5000
0.5000 0.0000 0.5000
0.5000 0.5000 0.0000
0.0000 0.0000 0.5000
0.0000 0.5000 0.0000
0.5000 0.0000 0.0000
0.5000 0.5000 0.5000
0.2500 0.2500 0.2500
0.2500 0.2500 0.7500
0.2500 0.7500 0.2500
0.2500 0.7500 0.7500
0.7500 0.2500 0.2500
0.7500 0.2500 0.7500
0.7500 0.7500 0.2500
0.7500 0.7500 0.7500
```

How far above the most stable structure does each one sit? In eV/atom: (one) 0.000; (two) 0.082.

(one)
# Li2CaY

An optimized crystal structure of Li2CaY (PBEsol, Alexandria).

Values from the calculation:
M_tot in μB per cell: 0.00
Symmetry: P4/mmm

POSCAR file:
```
Li2CaY
1.0
5.4393 0.0000 0.0000
0.0000 5.4393 0.0000
0.0000 0.0000 3.6597
Li Ca Y
2 1 1
Direct
0.0000 0.5000 0.0000
0.5000 0.0000 0.0000
0.0000 0.0000 0.5000
0.5000 0.5000 0.5000
```

(two)
# Li2CaY

An optimized crystal structure of Li2CaY (PBEsol, Alexandria).

Values from the calculation:
M_tot in μB per cell: 0.08
Symmetry: P4mm

POSCAR file:
```
Li2CaY
1.0
3.6553 0.0000 0.0000
0.0000 3.6553 0.0000
0.0000 0.0000 8.1353
Li Ca Y
2 1 1
Direct
0.0000 0.0000 0.0000
0.5000 0.5000 0.1584
0.5000 0.5000 0.7262
0.0000 0.0000 0.4029
```

How far above the most stable structure does each one sit? In eV/atom: (one) 0.035; (two) 0.000.